CsInNiF6 | PBE+U | optimized geometry

Cell: 7.8311 7.5227 7.6431 Å, 119.48 120.82 90.00°
Last column: nearest neighbours and their distance in Å.
Fractional coordinates of all 18 atoms:
Ni1 0.5000 0.0000 0.0000  6 F 1.98-2.05
F1 0.4404 0.0844 0.2569  1 Ni 2.05, 1 In 2.08
F2 0.8322 0.0822 0.6645  2 In 2.15
F3 0.1678 0.9178 0.3355  2 In 2.15
Cs1 0.8479 0.5979 0.6958  6 F 3.12-3.44
Cs2 0.1521 0.4021 0.3042  6 F 3.12-3.44
F4 0.5596 0.9156 0.7431  1 Ni 2.05, 1 In 2.08
In1 0.5000 0.0000 0.5000  6 F 2.08-2.15
Ni2 0.5000 0.5000 0.0000  6 F 1.98-2.05
F5 0.4417 0.6917 0.8833  2 Ni 1.98
F6 0.5583 0.3083 0.1167  2 Ni 1.98
F7 0.8165 0.0844 0.2569  1 Ni 2.05, 1 In 2.08
F8 0.1835 0.3275 0.7431  1 Ni 2.05, 1 In 2.08
F9 0.5596 0.3275 0.7431  1 Ni 2.05, 1 In 2.08
F10 0.4404 0.6725 0.2569  1 Ni 2.05, 1 In 2.08
F11 0.8165 0.6725 0.2569  1 Ni 2.05, 1 In 2.08
F12 0.1835 0.9156 0.7431  1 Ni 2.05, 1 In 2.08
In2 0.0000 0.0000 0.5000  6 F 2.08-2.15

Computed properties:
Total DFT energy (no corrections) = -0.1637 hartree per atom
Calculated volume = 17.61 Å³ per atom
Magnetization = 1.99 μB per formula unit